# 1
Density functional theory data (PBE-GGA) for an optimized crystal structure of CaTb14Dy.

Results
For the raw total energy, the calculation gives -4.43 eV per atom.

The structure in CIF format:
```
data_CaTb14Dy
_chemical_formula_sum 'Ca2 Tb28 Dy2'
_cell_length_a 11.369
_cell_length_b 7.293
_cell_length_c 12.634
_cell_angle_alpha 90.00
_cell_angle_beta 90.00
_cell_angle_gamma 90.00
_symmetry_space_group_name_H-M 'A m m 2'
_symmetry_Int_Tables_number 38
loop_
_symmetry_equiv_pos_as_xyz
'x,y,z'
'-x,-y,z'
'-x,y,z'
'x,-y,z'
'x,y+1/2,z+1/2'
'-x,-y+1/2,z+1/2'
'-x,y+1/2,z+1/2'
'x,-y+1/2,z+1/2'
loop_
_atom_site_label
_atom_site_type_symbol
_atom_site_fract_x
_atom_site_fract_y
_atom_site_fract_z
Ca1 Ca 0.000 0.000 0.000
Tb1 Tb 0.000 0.249 0.251
Tb2 Tb 0.248 0.000 0.333
Tb3 Tb 0.253 0.000 0.831
Tb4 Tb 0.253 0.247 0.584
Tb5 Tb 0.500 0.000 0.000
Tb6 Tb 0.500 0.000 0.500
Tb7 Tb 0.500 0.250 0.250
Dy1 Dy 0.000 0.000 0.500
```



# 2
Density functional theory data (PBE-GGA) for an optimized crystal structure of Sm6Zn2Sn.

Results
For the raw total energy, the calculation gives -4.16 eV per atom.

The structure in CIF format:
```
data_Sm6Zn2Sn
_chemical_formula_sum 'Sm24 Zn8 Sn4'
_cell_length_a 9.943
_cell_length_b 10.104
_cell_length_c 10.338
_cell_angle_alpha 90.00
_cell_angle_beta 90.00
_cell_angle_gamma 90.00
_symmetry_space_group_name_H-M 'I m m m'
_symmetry_Int_Tables_number 71
_symmetry_space_group_name_Hall '-I 2 2'
loop_
_atom_site_label
_atom_site_type_symbol
_atom_site_fract_x
_atom_site_fract_y
_atom_site_fract_z
Sm1 Sm 0.000 0.217 0.182
Sm2 Sm 0.185 0.226 0.500
Sm3 Sm 0.207 0.500 0.258
Zn1 Zn 0.000 0.000 0.375
Zn2 Zn 0.132 0.000 0.000
Sn1 Sn 0.000 0.500 0.000
Sn2 Sn 0.000 0.500 0.500
```



Number 1: V 1047.5 Å³ per cell, total magnetization 0.0 Bohr magnetons per cell. Number 2: V 1038.5 Å³ per cell, total magnetization 0.0 Bohr magnetons per cell.